(1)
Here is a geometry-optimized HfPaNb2 structure from Alexandria via LeMat-Bulk. Energies are from PBE-GGA.

a = 3.493 Å, b = 4.882 Å, c = 4.882 Å
α = 90.00°, β = 90.00°, γ = 90.00°
Sites, in units of the cell vectors:
Pa 0.500 0.500 0.500
Nb 0.000 0.000 0.500
Nb 0.000 0.500 0.000
Hf 0.500 0.000 0.000

Values from the calculation:
E above lowest polymorph ... 10.1 kJ/mol of atoms
V ... 20.82 Å³/atom
Space group ... P4/mmm (123)
Final energy ... -9.784 eV per atom

***

(2)
Here is a geometry-optimized HfPa2Nb structure from Alexandria via LeMat-Bulk. Energies are from PBE-GGA.

a = 5.082 Å, b = 4.226 Å, c = 4.226 Å
α = 90.00°, β = 90.00°, γ = 90.00°
Sites, in units of the cell vectors:
Hf 0.500 0.500 0.500
Pa 0.000 0.000 0.500
Pa 0.000 0.500 0.000
Nb 0.500 0.000 0.000

Values from the calculation:
E above lowest polymorph ... 0.0 kJ/mol of atoms
V ... 22.69 Å³/atom
Space group ... P4/mmm (123)
Final energy ... -9.576 eV per atom

***

(3)
Here is a geometry-optimized HfPaNb structure from Alexandria via LeMat-Bulk. Energies are from PBE-GGA.

a = 4.838 Å, b = 4.838 Å, c = 3.181 Å
α = 90.00°, β = 90.00°, γ = 120.00°
Sites, in units of the cell vectors:
Nb 0.333 0.667 0.626
Hf 0.000 0.000 0.981
Pa 0.667 0.333 0.393

Values from the calculation:
E above lowest polymorph ... 0.0 kJ/mol of atoms
V ... 21.49 Å³/atom
Space group ... P3m1 (156)
Final energy ... -9.787 eV per atom

***

(4)
Here is a geometry-optimized HfPaNb2 structure from Alexandria via LeMat-Bulk. Energies are from PBE-GGA.

a = 3.461 Å, b = 3.461 Å, c = 6.915 Å
α = 90.00°, β = 90.00°, γ = 90.00°
Sites, in units of the cell vectors:
Nb 0.000 0.000 0.266
Nb 0.000 0.000 0.734
Hf 0.500 0.500 0.000
Pa 0.500 0.500 0.500

Values from the calculation:
E above lowest polymorph ... 4.5 kJ/mol of atoms
V ... 20.71 Å³/atom
Space group ... P4/mmm (123)
Final energy ... -9.841 eV per atom

***

(5)
Here is a geometry-optimized HfPaNb structure from Alexandria via LeMat-Bulk. Energies are from PBE-GGA.

a = 3.485 Å, b = 3.485 Å, c = 5.856 Å
α = 107.31°, β = 107.31°, γ = 90.00°
Sites, in units of the cell vectors:
Nb 0.294 0.294 0.588
Pa 0.936 0.936 0.872
Hf 0.620 0.620 0.240

Values from the calculation:
E above lowest polymorph ... 2.8 kJ/mol of atoms
V ... 21.51 Å³/atom
Space group ... I4mm (107)
Final energy ... -9.758 eV per atom

***

(6)
Here is a geometry-optimized HfPaNbPt structure from Alexandria via LeMat-Bulk. Energies are from PBE-GGA.

a = 4.859 Å, b = 4.859 Å, c = 4.859 Å
α = 60.00°, β = 60.00°, γ = 60.00°
Sites, in units of the cell vectors:
Hf 0.500 0.500 0.500
Pa 0.000 0.000 0.000
Nb 0.250 0.250 0.250
Pt 0.750 0.750 0.750

Values from the calculation:
V ... 20.28 Å³/atom
Space group ... F-43m (216)
Final energy ... -9.291 eV per atom

***

(7)
Here is a geometry-optimized PuHfPaNb structure from Alexandria via LeMat-Bulk. Energies are from PBE-GGA.

a = 4.990 Å, b = 4.990 Å, c = 4.990 Å
α = 60.00°, β = 60.00°, γ = 60.00°
Last column: magnetic moment on the atom in μB.
Sites, in units of the cell vectors:
Nb 0.250 0.250 0.250  -0.57
Pu 0.750 0.750 0.750  5.30
Hf 0.000 0.000 0.000  0.24
Pa 0.500 0.500 0.500  0.75

Values from the calculation:
V ... 21.96 Å³/atom
Space group ... F-43m (216)
Final energy ... -10.861 eV per atom

***

(8)
Here is a geometry-optimized HfPaNbRh structure from Alexandria via LeMat-Bulk. Energies are from PBE-GGA.

a = 4.816 Å, b = 4.816 Å, c = 4.816 Å
α = 60.00°, β = 60.00°, γ = 60.00°
Sites, in units of the cell vectors:
Rh 0.500 0.500 0.500
Pa 0.750 0.750 0.750
Nb 0.000 0.000 0.000
Hf 0.250 0.250 0.250

Values from the calculation:
V ... 19.75 Å³/atom
Space group ... F-43m (216)
Final energy ... -9.542 eV per atom

***

(9)
Here is a geometry-optimized HfPaNbRu structure from Alexandria via LeMat-Bulk. Energies are from PBE-GGA.

a = 4.802 Å, b = 4.802 Å, c = 4.802 Å
α = 60.00°, β = 60.00°, γ = 60.00°
Sites, in units of the cell vectors:
Pa 0.500 0.500 0.500
Hf 0.000 0.000 0.000
Nb 0.750 0.750 0.750
Ru 0.250 0.250 0.250

Values from the calculation:
V ... 19.57 Å³/atom
Space group ... F-43m (216)
Final energy ... -9.932 eV per atom

***

(10)
Here is a geometry-optimized HfScPaNb structure from Alexandria via LeMat-Bulk. Energies are from PBE-GGA.

a = 4.992 Å, b = 4.992 Å, c = 4.992 Å
α = 60.00°, β = 60.00°, γ = 60.00°
Sites, in units of the cell vectors:
Nb 0.500 0.500 0.500
Pa 0.250 0.250 0.250
Hf 0.750 0.750 0.750
Sc 0.000 0.000 0.000

Values from the calculation:
V ... 21.99 Å³/atom
Space group ... F-43m (216)
Final energy ... -8.825 eV per atom

***

(11)
Here is a geometry-optimized HfPaNbSn structure from Alexandria via LeMat-Bulk. Energies are from PBE-GGA.

a = 5.044 Å, b = 5.044 Å, c = 5.044 Å
α = 60.00°, β = 60.00°, γ = 60.00°
Sites, in units of the cell vectors:
Sn 0.000 0.000 0.000
Nb 0.500 0.500 0.500
Pa 0.250 0.250 0.250
Hf 0.750 0.750 0.750

Values from the calculation:
V ... 22.69 Å³/atom
Space group ... F-43m (216)
Final energy ... -8.314 eV per atom

***

(12)
Here is a geometry-optimized HfPaTaNb structure from Alexandria via LeMat-Bulk. Energies are from PBE-GGA.

a = 4.885 Å, b = 4.885 Å, c = 4.885 Å
α = 60.00°, β = 60.00°, γ = 60.00°
Sites, in units of the cell vectors:
Ta 0.000 0.000 0.000
Nb 0.750 0.750 0.750
Hf 0.500 0.500 0.500
Pa 0.250 0.250 0.250

Values from the calculation:
V ... 20.61 Å³/atom
Space group ... F-43m (216)
Final energy ... -10.211 eV per atom

***

| no. | ΔE_f (eV per atom) |
| --- | --- |
| 1 | 0.1135 |
| 2 | 0.1775 |
| 3 | 0.0525 |
| 4 | 0.0562 |
| 5 | 0.0818 |
| 6 | -0.4014 |
| 7 | 0.1015 |
| 8 | -0.3244 |
| 9 | -0.2331 |
| 10 | 0.1378 |
| 11 | 0.0664 |
| 12 | 0.1317 |